# 1
! Al2InRh2, relaxed, DFT PBE-GGA; values from VASP
&SYSTEM
  ibrav = 0, nat = 10, ntyp = 3
/
ATOMIC_SPECIES
Al 26.98 Al.upf
In 114.82 In.upf
Rh 102.91 Rh.upf
ATOMIC_POSITIONS angstrom
Al 0.961 2.704 0.000
Al 2.704 6.369 0.000
Al 4.627 0.961 0.000
Al 6.369 4.627 0.000
In 0.000 0.000 0.000
In 3.665 3.665 0.000
Rh 1.183 4.849 1.450
Rh 2.482 1.183 1.450
Rh 4.849 6.147 1.450
Rh 6.147 2.482 1.450
CELL_PARAMETERS angstrom
7.331 0.000 0.000
0.000 7.331 0.000
0.000 0.000 2.900
! - distance to the lowest polymorph of the same formula (meV per atom) = 60

=====

# 2
! CsU4Ni3S12, relaxed, DFT PBE-GGA; values from VASP
&SYSTEM
  ibrav = 0, nat = 20, ntyp = 4
/
ATOMIC_SPECIES
Cs 132.91 Cs.upf
U 238.03 U.upf
Ni 58.69 Ni.upf
S 32.06 S.upf
ATOMIC_POSITIONS angstrom
Cs 0.000 0.000 0.000
U 2.413 2.413 -2.413
U 2.413 -2.413 2.413
U -2.413 2.413 2.413
U 2.413 2.413 2.413
Ni 4.826 0.000 0.000
Ni 0.000 4.826 0.000
Ni 0.000 0.000 4.826
S 3.175 0.000 1.576
S 6.477 0.000 1.576
S 4.826 3.250 -1.651
S 1.576 3.175 0.000
S 3.250 -1.651 4.826
S 0.000 1.576 3.175
S 4.826 3.250 1.651
S 1.576 6.477 0.000
S 3.250 1.651 4.826
S 0.000 1.576 6.477
S -1.651 4.826 3.250
S 1.651 4.826 3.250
CELL_PARAMETERS angstrom
-4.826 4.826 4.826
4.826 -4.826 4.826
4.826 4.826 -4.826
! - formation energy (no corrections) (eV per atom) = -0.889

=====

| no. | Fermi-level density of states (states/eV per cell) |
| --- | --- |
| 1 | 2.0 |
| 2 | 19.3 |